1.
First-principles (PBE) data for a relaxed Tb2CdGa crystal, as listed in Alexandria via LeMat-Bulk.

a = 3.6367 Å, b = 3.6367 Å, c = 7.4908 Å
α = 90.00°, β = 90.00°, γ = 90.00°
Sites, in units of the cell vectors:
Tb1 0.0000 0.0000 0.2342
Tb2 0.0000 0.0000 0.7658
Cd1 0.5000 0.5000 0.5000
Ga1 0.5000 0.5000 0.0000

Values from the calculation:
Formation energy, eV/f.u.: -1.84
Uncorrected energy, eV/f.u.: -15.04

2.
First-principles (PBE) data for a relaxed SrLiTeBr crystal, as listed in Alexandria via LeMat-Bulk.

a = 14.4102 Å, b = 14.4102 Å, c = 14.4102 Å
α = 18.63°, β = 18.63°, γ = 18.63°
Sites, in units of the cell vectors:
Sr1 0.0911 0.0911 0.0911
Sr2 0.9089 0.9089 0.9089
Li1 0.3109 0.3109 0.3109
Li2 0.6891 0.6891 0.6891
Te1 0.3773 0.3773 0.3773
Te2 0.6227 0.6227 0.6227
Br1 0.2066 0.2066 0.2066
Br2 0.7934 0.7934 0.7934

Values from the calculation:
Uncorrected energy, eV/f.u.: -14.87
Formation energy without anion corrections, kJ per mole of atoms: -155.8

3.
First-principles (PBE) data for a relaxed PbW crystal, as listed in Alexandria via LeMat-Bulk.

a = 3.3116 Å, b = 12.5375 Å, c = 6.8268 Å
α = 90.00°, β = 90.00°, γ = 90.00°
Sites, in units of the cell vectors:
Pb1 0.0000 0.0000 0.0000
Pb2 0.0000 0.5000 0.5000
Pb3 0.5000 0.2447 0.3393
Pb4 0.5000 0.2553 0.8393
Pb5 0.5000 0.7447 0.8393
Pb6 0.5000 0.7553 0.3393
W1 0.0000 0.1001 0.6009
W2 0.0000 0.3999 0.1009
W3 0.0000 0.6001 0.1009
W4 0.0000 0.8999 0.6009
W5 0.5000 0.0000 0.3698
W6 0.5000 0.5000 0.8698

Values from the calculation:
Energy relative to the lowest polymorph listed for this composition, meV/atom: 262.5
Formation energy, eV/f.u.: 1.51
Uncorrected energy, eV/f.u.: -15.15

4.
First-principles (PBE) data for a relaxed Li4TeSe crystal, as listed in Alexandria via LeMat-Bulk.

a = 4.4221 Å, b = 4.4221 Å, c = 6.3121 Å
α = 90.00°, β = 90.00°, γ = 90.00°
Sites, in units of the cell vectors:
Li1 0.0000 0.5000 0.2349
Li2 0.0000 0.5000 0.7651
Li3 0.5000 0.0000 0.2349
Li4 0.5000 0.0000 0.7651
Te1 0.0000 0.0000 0.5000
Se1 0.5000 0.5000 0.0000

Values from the calculation:
Energy relative to the lowest polymorph listed for this composition, meV/atom: 0.0
Uncorrected energy, eV/f.u.: -21.08
Formation energy without anion corrections, kJ per mole of atoms: -109.3

| no. | spin magnetization (μB/atom) | density of states at the Fermi level (states/eV per atom) |
| --- | --- | --- |
| 1 | 0.0000 | 0.615 |
| 2 | 0.0000 | 0.000 |
| 3 | 0.0000 | 0.719 |
| 4 | 0.0000 | 0.000 |